VASP calculation (GGA-PBE) on crystalline NdYHo2N4 at its relaxed geometry.

Lattice parameters (Å, degrees): 3.5100 6.0787 6.0805 109.42 90.00 90.00
Positions (direct):
Nd  0.5000  0.5000  0.0000
Ho  0.5000  0.0000  0.5000
N  0.0000  0.2424  0.7407
N  0.5000  0.7526  0.7444
N  0.0000  0.7576  0.2593
Ho  0.0000  0.5000  0.5000
Y  0.0000  0.0000  0.0000
N  0.5000  0.2474  0.2556

Properties
- SG: P2/m, No. 10
- Magnetization: 0.00 μB per formula unit
- Raw formation energy: -1612 meV per atom



VASP calculation (GGA-PBE) on crystalline YWAu2 at its relaxed geometry.

Lattice parameters (Å, degrees): 5.1286 5.1286 3.0356 90.01 90.01 106.67
Positions (direct):
Au  0.0000  0.0000  0.0000
Y  0.0000  0.5000  0.5000
Au  0.5000  0.5000  0.0000
W  0.5000  0.0000  0.5000

Properties
- SG: Cmmm, No. 65
- Magnetization: 0.00 μB per formula unit
- Formation enthalpy at 0 K: 0.072 eV/atom
- Energy above the lowest structure with this stoichiometry: 6.4 meV/atom



VASP calculation (GGA-PBE) on crystalline MnP3 at its relaxed geometry.

Lattice parameters (Å, degrees): 4.4036 4.4036 4.4036 90.00 90.00 90.00
Last column: magnetic moment on the atom in μB.
Positions (direct):
P  0.5000  0.0000  0.0000  0.08
P  0.0000  0.5000  0.0000  0.08
P  0.0000  0.0000  0.5000  0.08
Mn  0.0000  0.0000  0.0000  1.68

Properties
- SG: Pm-3m, No. 221
- Magnetization: 2.36 μB per formula unit
- Formation enthalpy at 0 K: 0.632 eV/atom
- Energy above the lowest structure with this stoichiometry: 791.0 meV/atom



VASP calculation (GGA-PBE) on crystalline BaAc2Eu at its relaxed geometry.

Lattice parameters (Å, degrees): 3.9544 3.9544 14.3609 82.09 82.09 60.00
Last column: magnetic moment on the atom in μB.
Positions (direct):
Ac  0.0914  0.0914  0.7257  0.07
Eu  0.5000  0.5000  0.5000  7.01
Ba  0.0000  0.0000  0.0000  0.03
Ac  0.9086  0.9086  0.2743  0.07

Properties
- SG: R-3m, No. 166
- Magnetization: 8.01 μB per formula unit
- Formation enthalpy at 0 K: 0.170 eV/atom
- Energy above the lowest structure with this stoichiometry: 95.8 meV/atom



VASP calculation (GGA-PBE) on crystalline ZrBeSn2 at its relaxed geometry.

Lattice parameters (Å, degrees): 7.4763 7.4763 6.0610 51.92 51.92 90.00
Positions (direct):
Zr  0.0000  0.0000  0.0000
Sn  0.1816  0.6250  0.2500
Be  0.2500  0.7500  0.5000
Zr  0.7500  0.2500  0.5000
Sn  0.8750  0.8184  0.7500
Sn  0.3750  0.4316  0.7500
Sn  0.5684  0.1250  0.2500
Be  0.5000  0.5000  0.0000

Properties
- SG: I-42d, No. 122
- Magnetization: 0.00 μB per formula unit
- Formation enthalpy at 0 K: 0.092 eV/atom



VASP calculation (GGA-PBE) on crystalline Mn2Ga2Pd at its relaxed geometry.

Lattice parameters (Å, degrees): 6.6414 6.6414 3.4006 90.00 90.00 90.00
Last column: magnetic moment on the atom in μB.
Positions (direct):
Mn  0.1593  0.6593  0.5000  3.38
Pd  0.5000  0.5000  0.0000  0.18
Mn  0.6593  0.8407  0.5000  3.38
Ga  0.8607  0.6393  0.0000  -0.10
Ga  0.6393  0.1393  0.0000  -0.10
Pd  0.0000  0.0000  0.0000  0.18
Ga  0.1393  0.3607  0.0000  -0.10
Mn  0.3407  0.1593  0.5000  3.38
Mn  0.8407  0.3407  0.5000  3.38
Ga  0.3607  0.8607  0.0000  -0.10

Properties
- SG: P4/mbm, No. 127
- Magnetization: 6.94 μB per formula unit
- Formation enthalpy at 0 K: -0.156 eV/atom



VASP calculation (GGA-PBE) on crystalline Tm8PPb3Se3 at its relaxed geometry.

Lattice parameters (Å, degrees): 7.8995 7.8821 8.7730 116.55 90.00 120.07
Positions (direct):
Tm  0.2347  0.9793  0.7143
Tm  0.2347  0.4694  0.7144
Se  0.5000  0.0000  0.5000
Pb  0.0000  0.5000  0.0000
Se  0.5000  0.5000  0.5000
Tm  0.7653  0.5306  0.2856
Tm  0.2554  0.0207  0.2857
Tm  0.7653  0.0207  0.2857
Tm  0.2604  0.5208  0.2807
Se  0.0000  0.5000  0.5000
Pb  0.0000  0.0000  0.0000
Pb  0.5000  0.5000  0.0000
Tm  0.7396  0.4792  0.7193
Tm  0.7446  0.9793  0.7143
P  0.0000  0.0000  0.5000

Properties
- SG: C2/m, No. 12
- Magnetization: 0.00 μB per formula unit
- Raw formation energy: -990 meV per atom



VASP calculation (GGA-PBE) on crystalline CrRuAu2 at its relaxed geometry.

Lattice parameters (Å, degrees): 4.8729 4.8729 4.8356 77.09 77.09 35.06
Last column: magnetic moment on the atom in μB.
Positions (direct):
Au  0.9955  0.9955  0.0032  0.01
Au  0.7582  0.7582  0.7469  -0.01
Ru  0.2346  0.2346  0.2716  -0.75
Cr  0.5117  0.5117  0.4783  2.81

Properties
- SG: Cm, No. 8
- Magnetization: 2.27 μB per formula unit
- Formation enthalpy at 0 K: 0.275 eV/atom
- Energy above the lowest structure with this stoichiometry: 132.1 meV/atom



VASP calculation (GGA-PBE) on crystalline VCuPCl2 at its relaxed geometry.

Lattice parameters (Å, degrees): 4.5456 4.5456 4.8564 90.00 90.00 90.00
Last column: magnetic moment on the atom in μB.
Positions (direct):
Cl  0.0000  0.5000  0.0000  0.00
Cu  0.5000  0.5000  0.5000  -0.03
V  0.0000  0.0000  0.0000  1.16
P  0.0000  0.0000  0.5000  -0.17
Cl  0.5000  0.0000  0.0000  0.00

Properties
- SG: P4/mmm, No. 123
- Magnetization: 0.93 μB per formula unit
- Energy above the lowest structure with this stoichiometry: 0.0 meV/atom
- Raw formation energy: 125 meV per atom



VASP calculation (GGA-PBE) on crystalline Zn2Cd2Ag at its relaxed geometry.

Lattice parameters (Å, degrees): 4.0602 4.0602 6.9582 73.04 73.04 90.00
Positions (direct):
Zn  0.5936  0.5936  0.8129
Ag  0.0000  0.0000  0.0000
Cd  0.2500  0.7500  0.5000
Cd  0.7500  0.2500  0.5000
Zn  0.4064  0.4064  0.1871

Properties
- SG: I4/mmm, No. 139
- Magnetization: 0.00 μB per formula unit
- Formation enthalpy at 0 K: 0.229 eV/atom
- Energy above the lowest structure with this stoichiometry: 201.8 meV/atom



VASP calculation (GGA-PBE) on crystalline MgZnFe2Sn at its relaxed geometry.

Lattice parameters (Å, degrees): 4.5970 4.8951 4.5970 90.00 90.00 90.00
Last column: magnetic moment on the atom in μB.
Positions (direct):
Fe  0.0000  0.0000  0.5000  -2.81
Zn  0.0000  0.0000  0.0000  0.07
Fe  0.5000  0.0000  0.0000  -2.76
Sn  0.0000  0.5000  0.0000  -0.02
Mg  0.5000  0.5000  0.5000  0.03

Properties
- SG: P4/mmm, No. 123
- Magnetization: 5.36 μB per formula unit
- Formation enthalpy at 0 K: 0.851 eV/atom



VASP calculation (GGA-PBE) on crystalline Ac2HoGe4Rh3 at its relaxed geometry.

Lattice parameters (Å, degrees): 4.3841 4.3841 11.2399 90.00 90.00 90.00
Positions (direct):
Rh  0.0000  0.0000  0.5000
Ge  0.0000  0.5000  0.3383
Ac  0.5000  0.0000  0.2298
Ge  0.0000  0.0000  0.0000
Ge  0.5000  0.0000  0.6617
Rh  0.0000  0.5000  0.1130
Ge  0.5000  0.5000  0.0000
Ac  0.0000  0.5000  0.7702
Rh  0.5000  0.0000  0.8870
Ho  0.5000  0.5000  0.5000

Properties
- SG: P-4m2, No. 115
- Magnetization: 0.00 μB per formula unit
- Formation enthalpy at 0 K: -0.787 eV/atom



- Which formula does entry 11 have?
  MgZnFe2Sn



- Look up the magnetization of the eighth one.
  2.27 μB per formula unit



- Number 11 is which compound?
  MgZnFe2Sn